DFT (PBE) results for a geometry-optimized TaCrS3 structure.

The calculation puts the formation energy (no corrections) at 420 meV/atom.

It has space group Pm-3m (No. 221), with a = 4.470 Å, b = 4.470 Å, c = 4.470 Å, α = 90.00°, β = 90.00° and γ = 90.00°. Symmetry generates all atoms from Ta at (0.000, 0.000, 0.000), Cr at (0.500, 0.500, 0.500) and S at (0.000, 0.500, 0.500).